Here is crystalline Al3Pt at its relaxed geometry from Alexandria via LeMat-Bulk. Energies are from PBE.

Lattice parameters (Å, degrees): 3.0059 3.0059 8.2384 90.00 90.00 120.00
Space group P-6m2 (No. 187)
One atom of each set of equivalent atoms:
1 Al 0.0000 0.0000 0.0000 x1
2 Al 0.3333 0.6667 0.2629 x2
3 Pt 0.0000 0.0000 0.5000 x1

The uncorrected energy is -0.1714 Ha/atom. Its formation energy is -348 meV/atom. For the density of states at the Fermi level, the calculation gives 1.22 states/eV per cell.

=====

Here is crystalline Sm2YTm3Se6 at its relaxed geometry from Alexandria via LeMat-Bulk. Energies are from PBE.

Lattice parameters (Å, degrees): 17.871 4.048 8.240 90.00 104.60 90.00
Space group C2/m (No. 12)
One atom of each set of equivalent atoms:
1 Sm 0.168 0.000 0.336 x4
2 Y 0.000 0.500 0.000 x2
3 Tm 0.000 0.500 0.500 x2
4 Tm 0.169 0.000 0.833 x4
5 Se 0.004 0.000 0.747 x4
6 Se 0.163 0.500 0.592 x4
7 Se 0.167 0.500 0.074 x4

The uncorrected energy is -0.2175 Ha/atom. For the density of states at the Fermi level, the calculation gives 10.48 states/eV per cell.

=====

Here is crystalline La2ErTh3Se6 at its relaxed geometry from Alexandria via LeMat-Bulk. Energies are from PBE.

Lattice parameters (Å, degrees): 18.500 4.196 8.464 90.00 105.03 90.00
Space group C2/m (No. 12)
One atom of each set of equivalent atoms:
1 La 0.165 0.000 0.332 x4
2 Er 0.000 0.500 0.000 x2
3 Th 0.000 0.500 0.500 x2
4 Th 0.170 0.000 0.834 x4
5 Se 0.003 0.000 0.764 x4
6 Se 0.160 0.500 0.077 x4
7 Se 0.167 0.500 0.585 x4

The uncorrected energy is -0.2388 Ha/atom. For the density of states at the Fermi level, the calculation gives 17.80 states/eV per cell.

=====

- Look up the uncorrected energy of the second one.
  -0.2175 Ha/atom

=====

- Among the records above, which one has the lowest uncorrected energy?
  La2ErTh3Se6